[1]
# PBE ScTa2Cu, optimized geometry
# calculated volume	18.3	A^3/atom
# total magnetization	0.00	μB per cell
# formation energy from the elements	239.3	meV/atom
# E above lowest polymorph	173	meV per atom
data_ScTa2Cu
_symmetry_space_group_name_H-M 'R 3 m'
_symmetry_Int_Tables_number 160
_symmetry_space_group_name_Hall 'R 3 -2"'
_cell_length_a 3.0276
_cell_length_b 3.0276
_cell_length_c 27.6021
_cell_angle_alpha 90.00
_cell_angle_beta 90.00
_cell_angle_gamma 120.00
loop_
_atom_site_label
_atom_site_fract_x
_atom_site_fract_y
_atom_site_fract_z
Sc1 0.0000 0.0000 0.0000
Ta1 0.0000 0.0000 0.5081
Ta2 0.0000 0.0000 0.7554
Cu1 0.0000 0.0000 0.2509

[2]
# PBE IrRu2, optimized geometry
# calculated volume	17.2	A^3/atom
# total magnetization	0.00	μB per cell
# formation energy from the elements	925.0	meV/atom
# E above lowest polymorph	975	meV per atom
data_IrRu2
_symmetry_space_group_name_H-M 'P n n m'
_symmetry_Int_Tables_number 58
_cell_length_a 3.730
_cell_length_b 6.263
_cell_length_c 4.419
_cell_angle_alpha 90.00
_cell_angle_beta 90.00
_cell_angle_gamma 90.00
loop_
_symmetry_equiv_pos_as_xyz
'x,y,z'
'-x,-y,-z'
'-x,-y,z'
'x,y,-z'
'x+1/2,-y+1/2,-z+1/2'
'-x+1/2,y+1/2,z+1/2'
'-x+1/2,y+1/2,-z+1/2'
'x+1/2,-y+1/2,z+1/2'
loop_
_atom_site_label
_atom_site_fract_x
_atom_site_fract_y
_atom_site_fract_z
Ir1 0.000 0.000 0.000
Ru1 0.218 0.373 0.000